Entry 1:
# MnReS | Alexandria | PBE | optimized geometry
# Polymorph energy (0 for the lowest one) = 268 meV per atom
data_MnReS
_symmetry_space_group_name_H-M 'P 4 m m'
_symmetry_Int_Tables_number 99
_cell_length_a 2.696
_cell_length_b 2.696
_cell_length_c 5.526
_cell_angle_alpha 90.00
_cell_angle_beta 90.00
_cell_angle_gamma 90.00
loop_
_symmetry_equiv_pos_as_xyz
'x,y,z'
'-y,x,z'
'-x,-y,z'
'y,-x,z'
'-x,y,z'
'y,x,z'
'x,-y,z'
'-y,-x,z'
loop_
_atom_site_label
_atom_site_type_symbol
_atom_site_fract_x
_atom_site_fract_y
_atom_site_fract_z
Mn1 Mn 0.000 0.000 0.000
Re1 Re 0.500 0.500 0.663
S1 S 0.500 0.500 0.228

=====

Entry 2:
# MnReS | Alexandria | PBE | optimized geometry
# Polymorph energy (0 for the lowest one) = 218 meV per atom
data_MnReS
_symmetry_space_group_name_H-M 'A m m 2'
_symmetry_Int_Tables_number 38
_cell_length_a 3.107
_cell_length_b 3.203
_cell_length_c 8.121
_cell_angle_alpha 90.00
_cell_angle_beta 90.00
_cell_angle_gamma 90.00
loop_
_symmetry_equiv_pos_as_xyz
'x,y,z'
'-x,-y,z'
'-x,y,z'
'x,-y,z'
'x,y+1/2,z+1/2'
'-x,-y+1/2,z+1/2'
'-x,y+1/2,z+1/2'
'x,-y+1/2,z+1/2'
loop_
_atom_site_label
_atom_site_type_symbol
_atom_site_fract_x
_atom_site_fract_y
_atom_site_fract_z
Mn1 Mn 0.000 0.000 0.000
Re1 Re 0.500 0.000 0.700
S1 S 0.500 0.000 0.411

=====

Entry 3:
# MnReS | Alexandria | PBE | optimized geometry
# Polymorph energy (0 for the lowest one) = 349 meV per atom
data_MnReS
_symmetry_space_group_name_H-M 'P -6 m 2'
_symmetry_Int_Tables_number 187
_symmetry_space_group_name_Hall 'P -6 2'
_cell_length_a 3.8810
_cell_length_b 3.8810
_cell_length_c 2.8594
_cell_angle_alpha 90.00
_cell_angle_beta 90.00
_cell_angle_gamma 120.00
loop_
_atom_site_label
_atom_site_type_symbol
_atom_site_fract_x
_atom_site_fract_y
_atom_site_fract_z
Mn1 Mn 0.0000 0.0000 0.0000
Re1 Re 0.3333 0.6667 0.5000
S1 S 0.6667 0.3333 0.0000

=====

Entry 4:
# MnReSbS2

An optimized crystal structure of MnReSbS2 (PBE, Alexandria).

```
data_MnReSbS2
_symmetry_space_group_name_H-M 'P 4/m m m'
_symmetry_Int_Tables_number 123
_symmetry_space_group_name_Hall '-P 4 2'
_cell_length_a 4.475
_cell_length_b 4.475
_cell_length_c 5.385
_cell_angle_alpha 90.00
_cell_angle_beta 90.00
_cell_angle_gamma 90.00
loop_
_atom_site_label
_atom_site_type_symbol
_atom_site_fract_x
_atom_site_fract_y
_atom_site_fract_z
Mn1 Mn 0.000 0.000 0.000
Re1 Re 0.000 0.000 0.500
Sb1 Sb 0.500 0.500 0.000
S1 S 0.000 0.500 0.500
```

=====

| no. | formation energy without anion corrections (kJ/mol of atoms) | size of the total moment (μB/f.u.) |
| --- | --- | --- |
| 1 | 12.4 | 0.000 |
| 2 | 7.6 | 2.210 |
| 3 | 20.2 | 0.000 |
| 4 | 48.0 | 3.346 |